# Sr3LiHg3 | the Alexandria database | PBE-GGA | relaxed
# VASP energy   -11.0 eV per formula unit
# DOS(E_F)   5.60 states/eV/f.u.
# Volume   32.037 Å³ per atom
# Calculated formation energy   -0.45 eV/atom
data_Sr3LiHg3
_chemical_formula_sum 'Sr12 Li4 Hg12'
_cell_length_a 12.354
_cell_length_b 4.659
_cell_length_c 16.639
_cell_angle_alpha 90.00
_cell_angle_beta 110.51
_cell_angle_gamma 90.00
_symmetry_space_group_name_H-M 'C 1 2/m 1'
_symmetry_Int_Tables_number 12
loop_
_symmetry_equiv_pos_as_xyz
'x,y,z'
'-x,-y,-z'
'-x,y,-z'
'x,-y,z'
'x+1/2,y+1/2,z'
'-x+1/2,-y+1/2,-z'
'-x+1/2,y+1/2,-z'
'x+1/2,-y+1/2,z'
loop_
_atom_site_label
_atom_site_type_symbol
_atom_site_fract_x
_atom_site_fract_y
_atom_site_fract_z
_atom_site_occupancy
Sr1 Sr 0.023 0.000 0.386 1
Sr2 Sr 0.105 0.000 0.920 1
Sr3 Sr 0.243 0.000 0.232 1
Li1 Li 0.234 0.500 0.410 1
Hg1 Hg 0.033 0.500 0.241 1
Hg2 Hg 0.117 0.500 0.077 1
Hg3 Hg 0.142 0.500 0.550 1

# Sr2LiHg | the Alexandria database | PBE-GGA | relaxed
# VASP energy   -6.1 eV per formula unit
# DOS(E_F)   3.56 states/eV/f.u.
# Volume   34.768 Å³ per atom
# Calculated formation energy   -0.14 eV/atom
data_Sr2LiHg
_chemical_formula_sum 'Sr4 Li2 Hg2'
_cell_length_a 4.881
_cell_length_b 4.881
_cell_length_c 11.673
_cell_angle_alpha 90.00
_cell_angle_beta 90.00
_cell_angle_gamma 90.00
_symmetry_space_group_name_H-M 'I -4 m 2'
_symmetry_Int_Tables_number 119
_symmetry_space_group_name_Hall 'I -4 -2'
loop_
_atom_site_label
_atom_site_type_symbol
_atom_site_fract_x
_atom_site_fract_y
_atom_site_fract_z
_atom_site_occupancy
Sr1 Sr 0.000 0.000 0.000 1
Sr2 Sr 0.000 0.500 0.250 1
Li1 Li 0.000 0.000 0.500 1
Hg1 Hg 0.000 0.500 0.750 1

# Sr3Li9Hg2 | the Alexandria database | PBE-GGA | relaxed
# VASP energy   -24.8 eV per formula unit
# DOS(E_F)   7.54 states/eV/f.u.
# Volume   26.313 Å³ per atom
# Calculated formation energy   -0.14 eV/atom
data_Sr3Li9Hg2
_chemical_formula_sum 'Sr6 Li18 Hg4'
_cell_length_a 4.907
_cell_length_b 10.683
_cell_length_c 14.056
_cell_angle_alpha 90.00
_cell_angle_beta 90.00
_cell_angle_gamma 90.00
_symmetry_space_group_name_H-M 'I m m m'
_symmetry_Int_Tables_number 71
_symmetry_space_group_name_Hall '-I 2 2'
loop_
_atom_site_label
_atom_site_type_symbol
_atom_site_fract_x
_atom_site_fract_y
_atom_site_fract_z
_atom_site_occupancy
Sr1 Sr 0.000 0.000 0.000 1
Sr2 Sr 0.000 0.000 0.324 1
Li1 Li 0.000 0.277 0.110 1
Li2 Li 0.000 0.344 0.318 1
Li3 Li 0.000 0.500 0.000 1
Hg1 Hg 0.000 0.229 0.500 1

# Sr5LiHg2 | the Alexandria database | PBE-GGA | relaxed
# VASP energy   -13.2 eV per formula unit
# DOS(E_F)   6.40 states/eV/f.u.
# Volume   39.905 Å³ per atom
# Calculated formation energy   -0.28 eV/atom
data_Sr5LiHg2
_chemical_formula_sum 'Sr20 Li4 Hg8'
_cell_length_a 9.009
_cell_length_b 9.009
_cell_length_c 15.735
_cell_angle_alpha 90.00
_cell_angle_beta 90.00
_cell_angle_gamma 90.00
_symmetry_space_group_name_H-M 'I 4/m c m'
_symmetry_Int_Tables_number 140
_symmetry_space_group_name_Hall '-I 4 2c'
loop_
_atom_site_label
_atom_site_type_symbol
_atom_site_fract_x
_atom_site_fract_y
_atom_site_fract_z
_atom_site_occupancy
Sr1 Sr 0.000 0.000 0.000 1
Sr2 Sr 0.160 0.340 0.141 1
Li1 Li 0.000 0.000 0.250 1
Hg1 Hg 0.136 0.364 0.500 1

# SrLi12Hg6 | the Alexandria database | PBE-GGA | relaxed
# VASP energy   -31.1 eV per formula unit
# DOS(E_F)   9.23 states/eV/f.u.
# Volume   21.476 Å³ per atom
# Calculated formation energy   -0.24 eV/atom
data_SrLi12Hg6
_chemical_formula_sum 'Sr3 Li36 Hg18'
_cell_length_a 11.9216
_cell_length_b 11.9216
_cell_length_c 9.9454
_cell_angle_alpha 90.00
_cell_angle_beta 90.00
_cell_angle_gamma 120.00
_symmetry_space_group_name_H-M 'R -3 m'
_symmetry_Int_Tables_number 166
_symmetry_space_group_name_Hall '-R 3 2"'
loop_
_atom_site_label
_atom_site_type_symbol
_atom_site_fract_x
_atom_site_fract_y
_atom_site_fract_z
_atom_site_occupancy
Sr1 Sr 0.0000 0.0000 0.0000 1
Li1 Li 0.0000 0.3888 0.5000 1
Li2 Li 0.0930 0.1861 0.3371 1
Hg1 Hg 0.0242 0.5121 0.2595 1

# SrLiHg2 | the Alexandria database | PBE-GGA | relaxed
# VASP energy   -5.5 eV per formula unit
# DOS(E_F)   1.68 states/eV/f.u.
# Volume   26.750 Å³ per atom
# Calculated formation energy   -0.33 eV/atom
data_SrLiHg2
_chemical_formula_sum 'Sr2 Li2 Hg4'
_cell_length_a 4.722
_cell_length_b 4.722
_cell_length_c 9.600
_cell_angle_alpha 90.00
_cell_angle_beta 90.00
_cell_angle_gamma 90.00
_symmetry_space_group_name_H-M 'I -4 m 2'
_symmetry_Int_Tables_number 119
_symmetry_space_group_name_Hall 'I -4 -2'
loop_
_atom_site_label
_atom_site_type_symbol
_atom_site_fract_x
_atom_site_fract_y
_atom_site_fract_z
_atom_site_occupancy
Sr1 Sr 0.000 0.000 0.000 1
Li1 Li 0.000 0.500 0.250 1
Hg1 Hg 0.000 0.000 0.500 1
Hg2 Hg 0.000 0.500 0.750 1